An optimized crystal structure of MgTcPd3, computed with PBE.

Computed properties:
The energy relative to the elements is 0.862 eV per atom. The value obtained for the energy above the lowest structure with this stoichiometry is 0.000 eV per atom. Its space group is Pm-3m (221).

Lattice parameters (Å, degrees): 4.792 4.792 4.792 90.00 90.00 90.00
Sites, in units of the cell vectors:
Mg  0.000  0.000  0.000
Tc  0.500  0.500  0.500
Pd  0.000  0.500  0.500
Pd  0.500  0.000  0.500
Pd  0.500  0.500  0.000

***

An optimized crystal structure of MgTcPd6, computed with PBE.

Computed properties:
The energy relative to the elements is -0.206 eV per atom. Its space group is P4/mmm (123).

Lattice parameters (Å, degrees): 3.940 3.940 7.923 90.00 90.00 90.00
Sites, in units of the cell vectors:
Mg  0.000  0.000  0.000
Tc  0.000  0.000  0.500
Pd  0.000  0.500  0.258
Pd  0.000  0.500  0.742
Pd  0.500  0.000  0.258
Pd  0.500  0.000  0.742
Pd  0.500  0.500  0.000
Pd  0.500  0.500  0.500

***

An optimized crystal structure of MgTc3Pd, computed with PBE.

Computed properties:
The energy relative to the elements is 1.885 eV per atom. The value obtained for the energy above the lowest structure with this stoichiometry is 0.000 eV per atom. Its space group is Pm-3m (221).

Lattice parameters (Å, degrees): 4.729 4.729 4.729 90.00 90.00 90.00
Sites, in units of the cell vectors:
Mg  0.000  0.000  0.000
Tc  0.000  0.500  0.500
Tc  0.500  0.000  0.500
Tc  0.500  0.500  0.000
Pd  0.500  0.500  0.500